(1)
DFT (GGA-PBE) results for a relaxed Er4Ni2SnGe4 crystal.

For the electronic total energy, the calculation gives -120.85 eV per cell. For the total magnetization, the calculation gives 0.001 Bohr magnetons per cell.

The space group is C2/m (No. 12) and the conventional cell measures 15.383, 4.227 and 7.029 Å, with angles of 90.00, 108.80 and 90.00 degrees. The inequivalent atoms are Er at (0.090, 0.000, 0.387), Er at (0.155, 0.000, 0.939), Ni at (0.218, 0.500, 0.636), Sn at (0.000, 0.500, 0.000), Ge at (0.067, 0.500, 0.660) and Ge at (0.205, 0.500, 0.268).

(2)
DFT (GGA-PBE) results for a relaxed PuFeNi crystal.

For the electronic total energy, the calculation gives -103.20 eV per cell. The formation energy from the elements comes out at 0.73 eV/atom. For the total magnetization, the calculation gives 0.011 Bohr magnetons per cell. The calculation puts the distance to the lowest polymorph of the same formula at 0.0000 eV per atom.

The space group is F-43m (No. 216) and the conventional cell measures 5.713, 5.713 and 5.713 Å, with angles of 90.00, 90.00 and 90.00 degrees. The inequivalent atoms are Pu at (0.000, 0.000, 0.000), Fe at (0.250, 0.250, 0.250) and Ni at (0.000, 0.000, 0.500).

(3)
DFT (GGA-PBE) results for a relaxed SmAsNO crystal.

For the electronic total energy, the calculation gives -54.63 eV per cell. For the total magnetization, the calculation gives 0.001 Bohr magnetons per cell. The calculation puts the distance to the lowest polymorph of the same formula at 0.0977 eV per atom.

The space group is Pmc2_1 (No. 26) and the conventional cell measures 4.054, 6.117 and 5.955 Å, with angles of 90.00, 90.00 and 90.00 degrees. The inequivalent atoms are Sm at (0.000, 0.207, 0.000), As at (0.500, 0.337, 0.610), N at (0.500, 0.417, 0.925) and O at (0.000, 0.105, 0.339).

(4)
DFT (GGA-PBE) results for a relaxed LiAg3PbO4 crystal.

For the electronic total energy, the calculation gives -34.72 eV per cell.

The space group is P-43m (No. 215) and the conventional cell measures 5.327, 5.327 and 5.327 Å, with angles of 90.00, 90.00 and 90.00 degrees. The inequivalent atoms are Li at (0.000, 0.000, 0.000), Ag at (0.000, 0.500, 0.500), Pb at (0.500, 0.500, 0.500) and O at (0.236, 0.236, 0.236).

(5)
DFT (GGA-PBE) results for a relaxed GdZrSi crystal.

For the electronic total energy, the calculation gives -78.65 eV per cell. For the total magnetization, the calculation gives 0.018 Bohr magnetons per cell.

The space group is F-43m (No. 216) and the conventional cell measures 6.631, 6.631 and 6.631 Å, with angles of 90.00, 90.00 and 90.00 degrees. The inequivalent atoms are Gd at (0.000, 0.000, 0.000), Zr at (0.000, 0.000, 0.500) and Si at (0.250, 0.250, 0.250).

(6)
DFT (GGA-PBE) results for a relaxed SrGa5PdPt crystal.

For the electronic total energy, the calculation gives -65.52 eV per cell. For the total magnetization, the calculation gives 0.008 Bohr magnetons per cell.

The space group is Imm2 (No. 44) and the conventional cell measures 4.158, 7.388 and 10.148 Å, with angles of 90.00, 90.00 and 90.00 degrees. The inequivalent atoms are Sr at (0.000, 0.000, 0.000), Ga at (0.000, 0.192, 0.647), Ga at (0.000, 0.193, 0.349), Ga at (0.000, 0.500, 0.001), Pd at (0.000, 0.500, 0.240) and Pt at (0.000, 0.500, 0.760).

(7)
DFT (GGA-PBE) results for a relaxed YFeOsPb crystal.

For the electronic total energy, the calculation gives -112.99 eV per cell. For the total magnetization, the calculation gives 8.211 Bohr magnetons per cell. The calculation puts the distance to the lowest polymorph of the same formula at 0.0000 eV per atom.

The space group is F-43m (No. 216) and the conventional cell measures 6.711, 6.711 and 6.711 Å, with angles of 90.00, 90.00 and 90.00 degrees. The inequivalent atoms are Y at (0.000, 0.000, 0.000), Fe at (0.250, 0.250, 0.750), Os at (0.250, 0.250, 0.250) and Pb at (0.000, 0.000, 0.500).

(8)
DFT (GGA-PBE) results for a relaxed Lu2ZnRe crystal.

For the electronic total energy, the calculation gives -87.12 eV per cell. The formation energy from the elements comes out at 0.24 eV/atom. For the total magnetization, the calculation gives 0.162 Bohr magnetons per cell.

The space group is F-43m (No. 216) and the conventional cell measures 6.732, 6.732 and 6.732 Å, with angles of 90.00, 90.00 and 90.00 degrees. The inequivalent atoms are Lu at (0.000, 0.000, 0.000), Lu at (0.250, 0.250, 0.250), Zn at (0.250, 0.250, 0.750) and Re at (0.000, 0.000, 0.500).

What is the formula in the fifth record?
GdZrSi

Which formula does entry 4 have?
LiAg3PbO4

Among the records above, which one has the lowest electronic total energy?
Er4Ni2SnGe4